Density functional theory data (PBE) for crystalline NpScTe2O at its relaxed geometry.

Cell: 4.0436 4.0436 14.3514 Å, 90.00 90.00 90.00°
Closest atoms and distances in Å follow each position.
Space group P4/nmm (No. 129, origin choice 2)
One atom of each set of equivalent atoms:
Np (0.2500, 0.2500, 0.0806) x2  4 O 2.33
Sc (0.2500, 0.2500, 0.5919) x2  6 Te 2.88-3.01
Te (0.2500, 0.2500, 0.3859) x2  5 Sc 2.88-2.96
Te (0.2500, 0.2500, 0.8017) x2  1 Sc 3.01, 4 Np 3.32
O (0.2500, 0.7500, 0.0000) x2  4 Np 2.33

Properties
E_form (uncorrected) = -1.704 eV/atom

=====

Density functional theory data (PBE) for crystalline NpScTiO6 at its relaxed geometry.

Cell: 4.8673 4.8673 9.5949 Å, 90.00 90.00 90.00°
Closest atoms and distances in Å follow each position.
Space group P4_2nm (No. 102)
One atom of each set of equivalent atoms:
Np (0.0000, 0.0000, 0.0000) x2  6 O 2.12-2.17
Sc (0.0000, 0.0000, 0.3361) x2  6 O 2.10-2.15
Ti (0.0000, 0.0000, 0.6631) x2  6 O 1.94-2.04
O (0.1856, 0.1856, 0.5103) x4  1 Ti 1.94, 1 Sc 2.10, 1 Np 2.17
O (0.1883, 0.1883, 0.8239) x4  1 Ti 2.02, 1 Np 2.13, 1 Sc 2.15
O (0.2030, 0.2030, 0.1667) x4  1 Ti 2.04, 1 Np 2.12, 1 Sc 2.14

Properties
E_form (uncorrected) = -3.092 eV/atom